Here is Mg2ZrSi after structural relaxation from the Alexandria database. Energies are from PBE.

Output
**Crystal system**: orthorhombic
**Magnetic moment**: 0.000 μB/cell
**Formation energy without anion corrections**: -0.357 eV per formula unit

a b c (Å): 4.169 4.939 7.988
angles (deg): 90.00 90.00 90.00
Space group Cmm2 (No. 35)
Inequivalent atoms, fractional coordinates:
1 Mg 0.000 0.000 0.000 [2 per cell]
2 Mg 0.000 0.500 0.287 [2 per cell]
3 Zr 0.000 0.500 0.712 [2 per cell]
4 Si 0.000 0.000 0.501 [2 per cell]

Here is Mg2ZrSi2 after structural relaxation from the Alexandria database. Energies are from PBE.

Output
**Crystal system**: tetragonal
**Magnetic moment**: 0.000 μB/cell
**Formation energy without anion corrections**: -0.754 eV per formula unit

a b c (Å): 7.010 7.010 3.930
angles (deg): 90.00 90.00 90.00
Space group P4/mbm (No. 127)
Inequivalent atoms, fractional coordinates:
1 Mg 0.176 0.324 0.000 [4 per cell]
2 Zr 0.000 0.000 0.500 [2 per cell]
3 Si 0.123 0.623 0.500 [4 per cell]

Here is MgZrSi3 after structural relaxation from the Alexandria database. Energies are from PBE.

Output
**Crystal system**: cubic
**Energy above the most stable polymorph in this dataset**: 316 meV per atom
**Magnetic moment**: 0.000 μB/cell
**Formation energy without anion corrections**: 4.986 eV per formula unit

a b c (Å): 4.730 4.730 4.730
angles (deg): 90.00 90.00 90.00
Space group Pm-3m (No. 221)
Inequivalent atoms, fractional coordinates:
1 Mg 0.000 0.000 0.000 [1 per cell]
2 Zr 0.500 0.500 0.500 [1 per cell]
3 Si 0.000 0.000 0.500 [3 per cell]

Here is SmMg3 after structural relaxation from the Alexandria database. Energies are from PBE.

Output
**Crystal system**: hexagonal
**Energy of formation from the pure elements**: -0.091 eV per atom
**Magnetic moment**: 0.000 μB/cell

a b c (Å): 6.7697 6.7697 5.2049
angles (deg): 90.00 90.00 120.00
Space group P6_3/mmc (No. 194)
Inequivalent atoms, fractional coordinates:
1 Sm 0.3333 0.6667 0.2500 [2 per cell]
2 Mg 0.1626 0.3252 0.7500 [6 per cell]

Here is SmMg5 after structural relaxation from the Alexandria database. Energies are from PBE.

Output
**Crystal system**: hexagonal
**Energy of formation from the pure elements**: -0.056 eV per atom
**Magnetic moment**: 0.000 μB/cell

a b c (Å): 5.1048 5.1048 6.6991
angles (deg): 90.00 90.00 120.00
Space group P6/mmm (No. 191)
Inequivalent atoms, fractional coordinates:
1 Sm 0.0000 0.0000 0.0000 [1 per cell]
2 Mg 0.0000 0.0000 0.5000 [1 per cell]
3 Mg 0.3333 0.6667 0.2539 [4 per cell]

Here is Sm3Mg5 after structural relaxation from the Alexandria database. Energies are from PBE.

Output
**Crystal system**: cubic
**Energy of formation from the pure elements**: -0.060 eV per atom
**Energy above the most stable polymorph in this dataset**: 15 meV per atom
**Magnetic moment**: 0.000 μB/cell

a b c (Å): 7.610 7.610 7.610
angles (deg): 90.00 90.00 90.00
Space group Im-3m (No. 229)
Inequivalent atoms, fractional coordinates:
1 Sm 0.000 0.000 0.500 [6 per cell]
2 Mg 0.000 0.000 0.000 [2 per cell]
3 Mg 0.250 0.250 0.250 [8 per cell]

Here is Sm2Mg after structural relaxation from the Alexandria database. Energies are from PBE.

Output
**Crystal system**: tetragonal
**Energy of formation from the pure elements**: -0.055 eV per atom
**Energy above the most stable polymorph in this dataset**: 7 meV per atom
**Magnetic moment**: 0.000 μB/cell

a b c (Å): 3.763 3.763 12.865
angles (deg): 90.00 90.00 90.00
Space group P4/mmm (No. 123)
Inequivalent atoms, fractional coordinates:
1 Sm 0.000 0.000 0.000 [1 per cell]
2 Sm 0.000 0.000 0.306 [2 per cell]
3 Sm 0.500 0.500 0.500 [1 per cell]
4 Mg 0.500 0.500 0.152 [2 per cell]

Here is Sm2Mg after structural relaxation from the Alexandria database. Energies are from PBE.

Output
**Crystal system**: cubic
**Energy of formation from the pure elements**: 0.289 eV per atom
**Energy above the most stable polymorph in this dataset**: 351 meV per atom
**Magnetic moment**: 0.032 μB/cell

a b c (Å): 9.199 9.199 9.199
angles (deg): 90.00 90.00 90.00
Space group Fd-3m (No. 227, origin choice 2)
Inequivalent atoms, fractional coordinates:
1 Sm 0.000 0.000 0.000 [16 per cell]
2 Mg 0.125 0.125 0.625 [8 per cell]

Here is SmMg2 after structural relaxation from the Alexandria database. Energies are from PBE.

Output
**Crystal system**: hexagonal
**Energy of formation from the pure elements**: -0.091 eV per atom
**Magnetic moment**: 0.000 μB/cell

a b c (Å): 5.2698 5.2698 3.3524
angles (deg): 90.00 90.00 120.00
Space group P6/mmm (No. 191)
Inequivalent atoms, fractional coordinates:
1 Sm 0.0000 0.0000 0.0000 [1 per cell]
2 Mg 0.3333 0.6667 0.5000 [2 per cell]

Here is Sm6Mg23 after structural relaxation from the Alexandria database. Energies are from PBE.

Output
**Crystal system**: cubic
**Energy of formation from the pure elements**: -0.066 eV per atom
**Magnetic moment**: 0.001 μB/cell

a b c (Å): 14.356 14.356 14.356
angles (deg): 90.00 90.00 90.00
Space group Fm-3m (No. 225)
Inequivalent atoms, fractional coordinates:
1 Sm 0.000 0.000 0.197 [24 per cell]
2 Mg 0.000 0.000 0.500 [4 per cell]
3 Mg 0.000 0.250 0.250 [24 per cell]
4 Mg 0.121 0.121 0.379 [32 per cell]
5 Mg 0.169 0.169 0.169 [32 per cell]

Here is SmMg3 after structural relaxation from the Alexandria database. Energies are from PBE.

Output
**Crystal system**: tetragonal
**Energy of formation from the pure elements**: -0.068 eV per atom
**Magnetic moment**: 0.000 μB/cell

a b c (Å): 4.718 4.718 4.733
angles (deg): 90.00 90.00 90.00
Space group P4/mmm (No. 123)
Inequivalent atoms, fractional coordinates:
1 Sm 0.000 0.000 0.000 [1 per cell]
2 Mg 0.000 0.500 0.500 [2 per cell]
3 Mg 0.500 0.500 0.000 [1 per cell]

Here is Sm3Mg2 after structural relaxation from the Alexandria database. Energies are from PBE.

Output
**Crystal system**: tetragonal
**Energy of formation from the pure elements**: -0.071 eV per atom
**Energy above the most stable polymorph in this dataset**: 0 meV per atom
**Magnetic moment**: 0.000 μB/cell

a b c (Å): 3.794 3.794 20.597
angles (deg): 90.00 90.00 90.00
Space group P4/mmm (No. 123)
Inequivalent atoms, fractional coordinates:
1 Sm 0.000 0.000 0.000 [1 per cell]
2 Sm 0.000 0.000 0.189 [2 per cell]
3 Sm 0.000 0.000 0.380 [2 per cell]
4 Sm 0.500 0.500 0.500 [1 per cell]
5 Mg 0.500 0.500 0.095 [2 per cell]
6 Mg 0.500 0.500 0.284 [2 per cell]

Here is Sm3Mg2 after structural relaxation from the Alexandria database. Energies are from PBE.

Output
**Crystal system**: trigonal
**Energy of formation from the pure elements**: -0.037 eV per atom
**Energy above the most stable polymorph in this dataset**: 34 meV per atom
**Magnetic moment**: 0.000 μB/cell

a b c (Å): 5.5004 5.5004 17.0635
angles (deg): 90.00 90.00 120.00
Space group R-3m (No. 166, hexagonal axes)
Inequivalent atoms, fractional coordinates:
1 Sm 0.0000 0.0000 0.0000 [3 per cell]
2 Sm 0.0000 0.0000 0.2141 [6 per cell]
3 Mg 0.0000 0.0000 0.4113 [6 per cell]

Here is Sm7Mg after structural relaxation from the Alexandria database. Energies are from PBE.

Output
**Crystal system**: cubic
**Energy of formation from the pure elements**: 0.005 eV per atom
**Magnetic moment**: 0.000 μB/cell

a b c (Å): 10.111 10.111 10.111
angles (deg): 90.00 90.00 90.00
Space group Fm-3m (No. 225)
Inequivalent atoms, fractional coordinates:
1 Sm 0.000 0.000 0.000 [4 per cell]
2 Sm 0.000 0.250 0.250 [24 per cell]
3 Mg 0.000 0.000 0.500 [4 per cell]

Here is Sm5Mg2 after structural relaxation from the Alexandria database. Energies are from PBE.

Output
**Crystal system**: tetragonal
**Energy of formation from the pure elements**: -0.015 eV per atom
**Magnetic moment**: 0.000 μB/cell

a b c (Å): 3.567 3.567 34.015
angles (deg): 90.00 90.00 90.00
Space group I4/mmm (No. 139)
Inequivalent atoms, fractional coordinates:
1 Sm 0.000 0.000 0.000 [2 per cell]
2 Sm 0.000 0.000 0.154 [4 per cell]
3 Sm 0.000 0.000 0.423 [4 per cell]
4 Mg 0.000 0.000 0.277 [4 per cell]

Here is Sm13Mg2 after structural relaxation from the Alexandria database. Energies are from PBE.

Output
**Crystal system**: triclinic
**Energy of formation from the pure elements**: 0.018 eV per atom
**Magnetic moment**: 0.000 μB/cell

a b c (Å): 6.418 8.831 9.538
angles (deg): 64.66 86.12 85.92
Space group P-1 (No. 2)
Inequivalent atoms, fractional coordinates:
1 Sm 0.000 0.000 0.000 [1 per cell]
2 Sm 0.158 0.235 0.230 [2 per cell]
3 Sm 0.194 0.421 0.812 [2 per cell]
4 Sm 0.270 0.512 0.409 [2 per cell]
5 Sm 0.324 0.667 0.996 [2 per cell]
6 Sm 0.347 0.832 0.587 [2 per cell]
7 Sm 0.498 0.913 0.204 [2 per cell]
8 Mg 0.056 0.151 0.616 [2 per cell]

Here is SmMg2 after structural relaxation from the Alexandria database. Energies are from PBE.

Output
**Crystal system**: tetragonal
**Energy of formation from the pure elements**: -0.049 eV per atom
**Magnetic moment**: 0.001 μB/cell

a b c (Å): 3.463 3.463 13.383
angles (deg): 90.00 90.00 90.00
Space group I4/mmm (No. 139)
Inequivalent atoms, fractional coordinates:
1 Sm 0.000 0.000 0.000 [2 per cell]
2 Mg 0.000 0.000 0.323 [4 per cell]

Here is SmMg4 after structural relaxation from the Alexandria database. Energies are from PBE.

Output
**Crystal system**: monoclinic
**Energy of formation from the pure elements**: -0.055 eV per atom
**Magnetic moment**: 0.000 μB/cell

a b c (Å): 15.327 3.426 5.169
angles (deg): 90.00 109.61 90.00
Space group C2/m (No. 12)
Inequivalent atoms, fractional coordinates:
1 Sm 0.000 0.000 0.000 [2 per cell]
2 Mg 0.102 0.500 0.602 [4 per cell]
3 Mg 0.214 0.500 0.214 [4 per cell]

Here is Sm3Mg5 after structural relaxation from the Alexandria database. Energies are from PBE.

Output
**Crystal system**: orthorhombic
**Energy of formation from the pure elements**: -0.076 eV per atom
**Energy above the most stable polymorph in this dataset**: 0 meV per atom
**Magnetic moment**: 0.000 μB/cell

a b c (Å): 7.798 10.687 5.250
angles (deg): 90.00 90.00 90.00
Space group Cmmm (No. 65)
Inequivalent atoms, fractional coordinates:
1 Sm 0.000 0.000 0.000 [2 per cell]
2 Sm 0.000 0.262 0.500 [4 per cell]
3 Mg 0.000 0.500 0.000 [2 per cell]
4 Mg 0.247 0.500 0.500 [4 per cell]
5 Mg 0.250 0.250 0.000 [4 per cell]

Here is SmMg3 after structural relaxation from the Alexandria database. Energies are from PBE.

Output
**Crystal system**: orthorhombic
**Energy of formation from the pure elements**: 0.014 eV per atom
**Magnetic moment**: 0.001 μB/cell

a b c (Å): 3.484 11.056 5.452
angles (deg): 90.00 90.00 90.00
Space group Imm2 (No. 44)
Inequivalent atoms, fractional coordinates:
1 Sm 0.000 0.000 0.000 [2 per cell]
2 Mg 0.000 0.232 0.502 [4 per cell]
3 Mg 0.000 0.500 0.000 [2 per cell]

Here is Sm2Mg13 after structural relaxation from the Alexandria database. Energies are from PBE.

Output
**Crystal system**: trigonal
**Energy of formation from the pure elements**: 0.276 eV per atom
**Magnetic moment**: 0.000 μB/cell

a b c (Å): 8.5101 8.5101 22.6825
angles (deg): 90.00 90.00 120.00
Space group R-3m (No. 166, hexagonal axes)
Inequivalent atoms, fractional coordinates:
1 Sm 0.0000 0.0000 0.2400 [6 per cell]
2 Mg 0.0000 0.0000 0.0000 [3 per cell]
3 Mg 0.0823 0.5411 0.3043 [18 per cell]
4 Mg 0.0986 0.5493 0.5569 [18 per cell]

Here is SmMg6 after structural relaxation from the Alexandria database. Energies are from PBE.

Output
**Crystal system**: orthorhombic
**Energy of formation from the pure elements**: -0.018 eV per atom
**Energy above the most stable polymorph in this dataset**: 0 meV per atom
**Magnetic moment**: 0.000 μB/cell

a b c (Å): 9.583 5.937 12.201
angles (deg): 90.00 90.00 90.00
Space group Pnma (No. 62)
Inequivalent atoms, fractional coordinates:
1 Sm 0.246 0.250 0.063 [4 per cell]
2 Mg 0.054 0.750 0.084 [4 per cell]
3 Mg 0.062 0.010 0.307 [8 per cell]
4 Mg 0.093 0.250 0.518 [4 per cell]
5 Mg 0.144 0.750 0.850 [4 per cell]
6 Mg 0.193 0.250 0.751 [4 per cell]

Here is Sm2Mg after structural relaxation from the Alexandria database. Energies are from PBE.

Output
**Crystal system**: tetragonal
**Energy of formation from the pure elements**: -0.051 eV per atom
**Energy above the most stable polymorph in this dataset**: 11 meV per atom
**Magnetic moment**: 0.001 μB/cell

a b c (Å): 3.694 3.694 13.412
angles (deg): 90.00 90.00 90.00
Space group I4/mmm (No. 139)
Inequivalent atoms, fractional coordinates:
1 Sm 0.000 0.000 0.159 [4 per cell]
2 Mg 0.000 0.000 0.500 [2 per cell]